# 1
# GdTeAsO6 PBE relaxed
# Total energy ... -6.3717 eV/atom
data_GdTeAsO6
_chemical_formula_sum 'Gd2 Te2 As2 O12'
_cell_length_a 5.3047
_cell_length_b 5.3047
_cell_length_c 9.6789
_cell_angle_alpha 90.00
_cell_angle_beta 90.00
_cell_angle_gamma 120.00
_symmetry_space_group_name_H-M 'P -3 1 c'
_symmetry_Int_Tables_number 163
_symmetry_space_group_name_Hall '-P 3 2c'
loop_
_atom_site_label
_atom_site_type_symbol
_atom_site_fract_x
_atom_site_fract_y
_atom_site_fract_z
Gd1 Gd 0.0000 0.0000 0.0000
Te1 Te 0.3333 0.6667 0.2500
As1 As 0.3333 0.6667 0.7500
O1 O 0.0281 0.3702 0.1360

=====

# 2
# GdYZn2As2O2 PBE relaxed
# Total energy ... -5.9264 eV/atom
data_GdYZn2As2O2
_chemical_formula_sum 'Gd1 Y1 Zn2 As2 O2'
_cell_length_a 3.966
_cell_length_b 3.966
_cell_length_c 8.915
_cell_angle_alpha 90.00
_cell_angle_beta 90.00
_cell_angle_gamma 90.00
_symmetry_space_group_name_H-M 'P 4 m m'
_symmetry_Int_Tables_number 99
_symmetry_space_group_name_Hall 'P 4 -2'
loop_
_atom_site_label
_atom_site_type_symbol
_atom_site_fract_x
_atom_site_fract_y
_atom_site_fract_z
Gd1 Gd 0.000 0.000 0.000
Y1 Y 0.500 0.500 0.248
Zn1 Zn 0.000 0.500 0.625
As1 As 0.000 0.000 0.442
As2 As 0.500 0.500 0.807
O1 O 0.000 0.500 0.126

=====

# 3
# Gd3AsP2 PBE relaxed
# Total energy ... -6.4886 eV/atom
data_Gd3AsP2
_chemical_formula_sum 'Gd3 As1 P2'
_cell_length_a 4.0849
_cell_length_b 4.0849
_cell_length_c 10.0154
_cell_angle_alpha 90.00
_cell_angle_beta 90.00
_cell_angle_gamma 120.00
_symmetry_space_group_name_H-M 'P -3 m 1'
_symmetry_Int_Tables_number 164
_symmetry_space_group_name_Hall '-P 3 2"'
loop_
_atom_site_label
_atom_site_type_symbol
_atom_site_fract_x
_atom_site_fract_y
_atom_site_fract_z
Gd1 Gd 0.0000 0.0000 0.0000
Gd2 Gd 0.3333 0.6667 0.3273
As1 As 0.0000 0.0000 0.5000
P1 P 0.3333 0.6667 0.8358

=====

# 4
# Gd3AsP PBE relaxed
# Total energy ... -5.4136 eV/atom
data_Gd3AsP
_chemical_formula_sum 'Gd3 As1 P1'
_cell_length_a 5.248
_cell_length_b 5.248
_cell_length_c 5.248
_cell_angle_alpha 90.00
_cell_angle_beta 90.00
_cell_angle_gamma 90.00
_symmetry_space_group_name_H-M 'P m -3 m'
_symmetry_Int_Tables_number 221
_symmetry_space_group_name_Hall '-P 4 2 3'
loop_
_atom_site_label
_atom_site_type_symbol
_atom_site_fract_x
_atom_site_fract_y
_atom_site_fract_z
Gd1 Gd 0.000 0.000 0.500
As1 As 0.500 0.500 0.500
P1 P 0.000 0.000 0.000

=====

# 5
# Gd2AsPPd2 PBE relaxed
# Total energy ... -6.1623 eV/atom
data_Gd2AsPPd2
_chemical_formula_sum 'Gd2 As1 P1 Pd2'
_cell_length_a 4.2657
_cell_length_b 4.2657
_cell_length_c 7.6173
_cell_angle_alpha 90.00
_cell_angle_beta 90.00
_cell_angle_gamma 120.00
_symmetry_space_group_name_H-M 'P -6 m 2'
_symmetry_Int_Tables_number 187
_symmetry_space_group_name_Hall 'P -6 2'
loop_
_atom_site_label
_atom_site_type_symbol
_atom_site_fract_x
_atom_site_fract_y
_atom_site_fract_z
Gd1 Gd 0.0000 0.0000 0.2454
As1 As 0.6667 0.3333 0.5000
P1 P 0.3333 0.6667 0.0000
Pd1 Pd 0.3333 0.6667 0.5000
Pd2 Pd 0.6667 0.3333 0.0000

=====

# 6
# Rb2Gd2AsP PBE relaxed
# Total energy ... -4.2503 eV/atom
data_Rb2Gd2AsP
_chemical_formula_sum 'Rb2 Gd2 As1 P1'
_cell_length_a 5.067
_cell_length_b 5.067
_cell_length_c 8.140
_cell_angle_alpha 90.00
_cell_angle_beta 90.00
_cell_angle_gamma 90.00
_symmetry_space_group_name_H-M 'P 4 m m'
_symmetry_Int_Tables_number 99
_symmetry_space_group_name_Hall 'P 4 -2'
loop_
_atom_site_label
_atom_site_type_symbol
_atom_site_fract_x
_atom_site_fract_y
_atom_site_fract_z
Rb1 Rb 0.000 0.000 0.000
Rb2 Rb 0.500 0.500 0.242
Gd1 Gd 0.000 0.500 0.616
As1 As 0.500 0.500 0.798
P1 P 0.000 0.000 0.459

=====

# 7
# GdAsPbSe3 PBE relaxed
# Total energy ... -4.6519 eV/atom
data_GdAsPbSe3
_chemical_formula_sum 'Gd4 As4 Pb4 Se12'
_cell_length_a 4.363
_cell_length_b 15.442
_cell_length_c 9.504
_cell_angle_alpha 90.00
_cell_angle_beta 90.00
_cell_angle_gamma 90.00
_symmetry_space_group_name_H-M 'C m c m'
_symmetry_Int_Tables_number 63
_symmetry_space_group_name_Hall '-C 2c 2'
loop_
_atom_site_label
_atom_site_type_symbol
_atom_site_fract_x
_atom_site_fract_y
_atom_site_fract_z
Gd1 Gd 0.000 0.000 0.000
As1 As 0.000 0.470 0.250
Pb1 Pb 0.000 0.244 0.750
Se1 Se 0.000 0.134 0.250
Se2 Se 0.000 0.373 0.041

=====

# 8
# GdTe3AsPb PBE relaxed
# Total energy ... -4.2427 eV/atom
data_GdTe3AsPb
_chemical_formula_sum 'Gd4 Te12 As4 Pb4'
_cell_length_a 4.515
_cell_length_b 16.358
_cell_length_c 10.122
_cell_angle_alpha 90.00
_cell_angle_beta 90.00
_cell_angle_gamma 90.00
_symmetry_space_group_name_H-M 'C m c m'
_symmetry_Int_Tables_number 63
_symmetry_space_group_name_Hall '-C 2c 2'
loop_
_atom_site_label
_atom_site_type_symbol
_atom_site_fract_x
_atom_site_fract_y
_atom_site_fract_z
Gd1 Gd 0.000 0.000 0.000
Te1 Te 0.000 0.133 0.250
Te2 Te 0.000 0.369 0.042
As1 As 0.000 0.473 0.250
Pb1 Pb 0.000 0.235 0.750

=====

# 9
# GdAs2Pd2 PBE relaxed
# Total energy ... -5.6851 eV/atom
data_GdAs2Pd2
_chemical_formula_sum 'Gd2 As4 Pd4'
_cell_length_a 4.401
_cell_length_b 4.401
_cell_length_c 9.884
_cell_angle_alpha 90.00
_cell_angle_beta 90.00
_cell_angle_gamma 90.00
_symmetry_space_group_name_H-M 'P 4/n m m'
_symmetry_Int_Tables_number 129
loop_
_symmetry_equiv_pos_as_xyz
'x,y,z'
'-x,-y,-z'
'-y+1/2,x,z'
'y+1/2,-x,-z'
'-x+1/2,-y+1/2,z'
'x+1/2,y+1/2,-z'
'y,-x+1/2,z'
'-y,x+1/2,-z'
'x+1/2,-y,-z'
'-x+1/2,y,z'
'-y,-x,-z'
'y,x,z'
'-x,y+1/2,-z'
'x,-y+1/2,z'
'y+1/2,x+1/2,-z'
'-y+1/2,-x+1/2,z'
loop_
_atom_site_label
_atom_site_type_symbol
_atom_site_fract_x
_atom_site_fract_y
_atom_site_fract_z
Gd1 Gd 0.250 0.250 0.249
As1 As 0.250 0.250 0.631
As2 As 0.250 0.750 0.000
Pd1 Pd 0.250 0.250 0.877
Pd2 Pd 0.250 0.750 0.500

=====

# 10
# PrGdAs2Pd2 PBE relaxed
# Total energy ... -6.0304 eV/atom
data_PrGdAs2Pd2
_chemical_formula_sum 'Pr1 Gd1 As2 Pd2'
_cell_length_a 4.3615
_cell_length_b 4.3615
_cell_length_c 7.7813
_cell_angle_alpha 90.00
_cell_angle_beta 90.00
_cell_angle_gamma 120.00
_symmetry_space_group_name_H-M 'P -3 m 1'
_symmetry_Int_Tables_number 164
_symmetry_space_group_name_Hall '-P 3 2"'
loop_
_atom_site_label
_atom_site_type_symbol
_atom_site_fract_x
_atom_site_fract_y
_atom_site_fract_z
Pr1 Pr 0.0000 0.0000 0.0000
Gd1 Gd 0.0000 0.0000 0.5000
As1 As 0.3333 0.6667 0.7428
Pd1 Pd 0.3333 0.6667 0.2603

=====

# 11
# PrGd2As3 PBE relaxed
# Total energy ... -6.1973 eV/atom
data_PrGd2As3
_chemical_formula_sum 'Pr1 Gd2 As3'
_cell_length_a 4.2055
_cell_length_b 4.2055
_cell_length_c 10.2997
_cell_angle_alpha 90.00
_cell_angle_beta 90.00
_cell_angle_gamma 120.00
_symmetry_space_group_name_H-M 'P -3 m 1'
_symmetry_Int_Tables_number 164
_symmetry_space_group_name_Hall '-P 3 2"'
loop_
_atom_site_label
_atom_site_type_symbol
_atom_site_fract_x
_atom_site_fract_y
_atom_site_fract_z
Pr1 Pr 0.0000 0.0000 0.0000
Gd1 Gd 0.3333 0.6667 0.3370
As1 As 0.0000 0.0000 0.5000
As2 As 0.3333 0.6667 0.8256

=====

# 12
# Pr2GdAs3 PBE relaxed
# Total energy ... -6.2039 eV/atom
data_Pr2GdAs3
_chemical_formula_sum 'Pr2 Gd1 As3'
_cell_length_a 4.2575
_cell_length_b 4.2575
_cell_length_c 10.4142
_cell_angle_alpha 90.00
_cell_angle_beta 90.00
_cell_angle_gamma 120.00
_symmetry_space_group_name_H-M 'P -3 m 1'
_symmetry_Int_Tables_number 164
_symmetry_space_group_name_Hall '-P 3 2"'
loop_
_atom_site_label
_atom_site_type_symbol
_atom_site_fract_x
_atom_site_fract_y
_atom_site_fract_z
Pr1 Pr 0.3333 0.6667 0.3300
Gd1 Gd 0.0000 0.0000 0.0000
As1 As 0.0000 0.0000 0.5000
As2 As 0.3333 0.6667 0.8409

=====

# 13
# Pr2GdTa2As6 PBE relaxed
# Total energy ... -6.7391 eV/atom
data_Pr2GdTa2As6
_chemical_formula_sum 'Pr4 Gd2 Ta4 As12'
_cell_length_a 4.876
_cell_length_b 4.876
_cell_length_c 23.716
_cell_angle_alpha 90.00
_cell_angle_beta 90.00
_cell_angle_gamma 90.00
_symmetry_space_group_name_H-M 'I 4/m m m'
_symmetry_Int_Tables_number 139
_symmetry_space_group_name_Hall '-I 4 2'
loop_
_atom_site_label
_atom_site_type_symbol
_atom_site_fract_x
_atom_site_fract_y
_atom_site_fract_z
Pr1 Pr 0.000 0.000 0.165
Gd1 Gd 0.000 0.000 0.000
Ta1 Ta 0.000 0.000 0.393
As1 As 0.000 0.000 0.292
As2 As 0.000 0.500 0.078

=====

# 14
# GdAs2Pt8 PBE relaxed
# Total energy ... -6.1505 eV/atom
data_GdAs2Pt8
_chemical_formula_sum 'Gd2 As4 Pt16'
_cell_length_a 12.280
_cell_length_b 4.093
_cell_length_c 9.488
_cell_angle_alpha 90.00
_cell_angle_beta 127.78
_cell_angle_gamma 90.00
_symmetry_space_group_name_H-M 'C 1 2/m 1'
_symmetry_Int_Tables_number 12
_symmetry_space_group_name_Hall '-C 2y'
loop_
_atom_site_label
_atom_site_type_symbol
_atom_site_fract_x
_atom_site_fract_y
_atom_site_fract_z
Gd1 Gd 0.000 0.000 0.000
As1 As 0.068 0.500 0.791
Pt1 Pt 0.040 0.000 0.388
Pt2 Pt 0.173 0.500 0.340
Pt3 Pt 0.178 0.500 0.649
Pt4 Pt 0.235 0.500 0.103

=====

# 15
# SmGdAs2Pt2 PBE relaxed
# Offset from the most stable computed form ... 0 meV per atom
# Total energy ... -6.3797 eV/atom
data_SmGdAs2Pt2
_chemical_formula_sum 'Sm2 Gd2 As4 Pt4'
_cell_length_a 4.3199
_cell_length_b 4.3199
_cell_length_c 15.5077
_cell_angle_alpha 90.00
_cell_angle_beta 90.00
_cell_angle_gamma 120.00
_symmetry_space_group_name_H-M 'P 63/m m c'
_symmetry_Int_Tables_number 194
_symmetry_space_group_name_Hall '-P 6c 2c'
loop_
_atom_site_label
_atom_site_type_symbol
_atom_site_fract_x
_atom_site_fract_y
_atom_site_fract_z
Sm1 Sm 0.0000 0.0000 0.0000
Gd1 Gd 0.0000 0.0000 0.2500
As1 As 0.3333 0.6667 0.1183
Pt1 Pt 0.3333 0.6667 0.6370

=====

# 16
# Rb3GdAs2 PBE relaxed
# Total energy ... -3.0336 eV/atom
data_Rb3GdAs2
_chemical_formula_sum 'Rb12 Gd4 As8'
_cell_length_a 11.758
_cell_length_b 11.337
_cell_length_c 8.577
_cell_angle_alpha 90.00
_cell_angle_beta 96.71
_cell_angle_gamma 90.00
_symmetry_space_group_name_H-M 'C 1 2/c 1'
_symmetry_Int_Tables_number 15
_symmetry_space_group_name_Hall '-C 2yc'
loop_
_atom_site_label
_atom_site_type_symbol
_atom_site_fract_x
_atom_site_fract_y
_atom_site_fract_z
Rb1 Rb 0.000 0.197 0.250
Rb2 Rb 0.213 0.458 0.981
Gd1 Gd 0.000 0.196 0.750
As1 As 0.186 0.246 0.606

=====

# 17
# RbGdTe3As PBE relaxed
# Total energy ... -4.0088 eV/atom
data_RbGdTe3As
_chemical_formula_sum 'Rb4 Gd4 Te12 As4'
_cell_length_a 4.530
_cell_length_b 17.607
_cell_length_c 11.114
_cell_angle_alpha 90.00
_cell_angle_beta 90.00
_cell_angle_gamma 90.00
_symmetry_space_group_name_H-M 'C m c m'
_symmetry_Int_Tables_number 63
_symmetry_space_group_name_Hall '-C 2c 2'
loop_
_atom_site_label
_atom_site_type_symbol
_atom_site_fract_x
_atom_site_fract_y
_atom_site_fract_z
Rb1 Rb 0.000 0.238 0.250
Gd1 Gd 0.000 0.000 0.000
Te1 Te 0.000 0.091 0.750
Te2 Te 0.000 0.378 0.545
As1 As 0.000 0.464 0.750

=====

# 18
# Gd3AsS2 PBE relaxed
# Total energy ... -6.3555 eV/atom
data_Gd3AsS2
_chemical_formula_sum 'Gd3 As1 S2'
_cell_length_a 4.0318
_cell_length_b 4.0318
_cell_length_c 9.7988
_cell_angle_alpha 90.00
_cell_angle_beta 90.00
_cell_angle_gamma 120.00
_symmetry_space_group_name_H-M 'P -3 m 1'
_symmetry_Int_Tables_number 164
_symmetry_space_group_name_Hall '-P 3 2"'
loop_
_atom_site_label
_atom_site_type_symbol
_atom_site_fract_x
_atom_site_fract_y
_atom_site_fract_z
Gd1 Gd 0.0000 0.0000 0.0000
Gd2 Gd 0.3333 0.6667 0.3282
As1 As 0.0000 0.0000 0.5000
S1 S 0.3333 0.6667 0.8385

=====

# 19
# GdAsS4 PBE relaxed
# Total energy ... -5.1598 eV/atom
data_GdAsS4
_chemical_formula_sum 'Gd2 As2 S8'
_cell_length_a 6.611
_cell_length_b 6.695
_cell_length_c 7.600
_cell_angle_alpha 88.18
_cell_angle_beta 88.14
_cell_angle_gamma 81.95
_symmetry_space_group_name_H-M 'P -1'
_symmetry_Int_Tables_number 2
_symmetry_space_group_name_Hall '-P 1'
loop_
_atom_site_label
_atom_site_type_symbol
_atom_site_fract_x
_atom_site_fract_y
_atom_site_fract_z
Gd1 Gd 0.205 0.209 0.060
As1 As 0.307 0.754 0.807
S1 S 0.075 0.019 0.759
S2 S 0.116 0.511 0.785
S3 S 0.392 0.780 0.084
S4 S 0.421 0.266 0.357

=====

# 20
# GdAsS PBE relaxed
# Total energy ... -6.0593 eV/atom
data_GdAsS
_chemical_formula_sum 'Gd4 As4 S4'
_cell_length_a 17.122
_cell_length_b 3.850
_cell_length_c 3.882
_cell_angle_alpha 90.00
_cell_angle_beta 90.00
_cell_angle_gamma 90.00
_symmetry_space_group_name_H-M 'P n m a'
_symmetry_Int_Tables_number 62
_symmetry_space_group_name_Hall '-P 2ac 2n'
loop_
_atom_site_label
_atom_site_type_symbol
_atom_site_fract_x
_atom_site_fract_y
_atom_site_fract_z
Gd1 Gd 0.146 0.250 0.234
As1 As 0.001 0.250 0.719
S1 S 0.187 0.750 0.736